# 1
A plane-wave DFT calculation with GGA-PBEsol was carried out for an optimized crystal structure of TaP2Os.

Lattice parameters (Å, degrees): 4.2342 4.2342 4.2342 60.00 60.00 60.00
Atoms (fractional coordinates):
Ta  0.0000  0.0000  0.0000
P  0.2500  0.2500  0.2500
P  0.7500  0.7500  0.7500
Os  0.5000  0.5000  0.5000

Results
total magnetic moment	0.000	μB/f.u.
DFT total energy	-9.36	eV per atom
DOS at the Fermi energy	2.9	states/eV/f.u.
ΔE to the lowest computed polymorph	0.000	eV per atom
energy of formation	-0.28	eV per atom


# 2
A plane-wave DFT calculation with GGA-PBEsol was carried out for an optimized crystal structure of Na2MgZrP.

Lattice parameters (Å, degrees): 4.7862 4.7862 5.5439 90.00 90.00 90.00
Atoms (fractional coordinates):
Na  0.0000  0.5000  0.0000
Na  0.5000  0.0000  0.0000
Mg  0.0000  0.0000  0.0000
Zr  0.0000  0.0000  0.5000
P  0.5000  0.5000  0.5000

Results
total magnetic moment	0.108	μB/f.u.
DFT total energy	-2.85	eV per atom
DOS at the Fermi energy	4.5	states/eV/f.u.
energy of formation	1.03	eV per atom


# 3
A plane-wave DFT calculation with GGA-PBEsol was carried out for an optimized crystal structure of Li4Ni5SbO12.

Lattice parameters (Å, degrees): 5.0001 5.0001 9.7150 94.65 94.65 119.69
Atoms (fractional coordinates):
Li  0.0799  0.7389  0.7397
Li  0.2611  0.9201  0.2603
Li  0.7389  0.0799  0.7397
Li  0.9201  0.2611  0.2603
Ni  0.0000  0.0000  0.5000
Ni  0.1671  0.8329  0.0000
Ni  0.3363  0.6637  0.5000
Ni  0.6637  0.3363  0.5000
Ni  0.8329  0.1671  0.0000
Sb  0.5000  0.5000  0.0000
O  0.0120  0.3683  0.6031
O  0.1231  0.1231  0.8896
O  0.2024  0.5437  0.1132
O  0.2908  0.2908  0.4024
O  0.3683  0.0120  0.6031
O  0.4563  0.7976  0.8868
O  0.5437  0.2024  0.1132
O  0.6317  0.9880  0.3969
O  0.7092  0.7092  0.5976
O  0.7976  0.4563  0.8868
O  0.8769  0.8769  0.1104
O  0.9880  0.6317  0.3969

Results
energy relative to the elements, uncorrected	-120	kJ/mol of atoms
total magnetic moment	5.022	μB/f.u.
DFT total energy	-6.07	eV per atom
DOS at the Fermi energy	10.2	states/eV/f.u.


# 4
A plane-wave DFT calculation with GGA-PBEsol was carried out for an optimized crystal structure of MnAlFeCo.

Lattice parameters (Å, degrees): 3.9645 3.9645 3.9645 60.00 60.00 60.00
Atoms (fractional coordinates):
Mn  0.0000  0.0000  0.0000
Al  0.5000  0.5000  0.5000
Fe  0.7500  0.7500  0.7500
Co  0.2500  0.2500  0.2500

Results
total magnetic moment	2.998	μB/f.u.
DFT total energy	-7.87	eV per atom
DOS at the Fermi energy	4.8	states/eV/f.u.
energy of formation	-0.23	eV per atom


# 5
A plane-wave DFT calculation with GGA-PBEsol was carried out for an optimized crystal structure of Tl2NiBr.

Lattice parameters (Å, degrees): 5.1582 5.1582 5.1582 60.00 60.00 60.00
Atoms (fractional coordinates):
Tl  0.2500  0.2500  0.2500
Tl  0.7500  0.7500  0.7500
Ni  0.0000  0.0000  0.0000
Br  0.5000  0.5000  0.5000

Results
energy relative to the elements, uncorrected	35	kJ/mol of atoms
total magnetic moment	0.590	μB/f.u.
DFT total energy	-2.96	eV per atom
DOS at the Fermi energy	7.4	states/eV/f.u.


# 6
A plane-wave DFT calculation with GGA-PBEsol was carried out for an optimized crystal structure of AsRuAuBr2.

Lattice parameters (Å, degrees): 5.0497 5.0497 4.5670 90.00 90.00 90.00
Atoms (fractional coordinates):
As  0.0000  0.0000  0.0000
Ru  0.0000  0.0000  0.5000
Au  0.5000  0.5000  0.0000
Br  0.0000  0.5000  0.5000
Br  0.5000  0.0000  0.5000

Results
energy relative to the elements, uncorrected	60	kJ/mol of atoms
total magnetic moment	0.002	μB/f.u.
DFT total energy	-3.97	eV per atom
DOS at the Fermi energy	4.7	states/eV/f.u.


# 7
A plane-wave DFT calculation with GGA-PBEsol was carried out for an optimized crystal structure of KCuMo2.

Lattice parameters (Å, degrees): 5.8338 5.8338 2.5455 90.00 90.00 126.89
Atoms (fractional coordinates):
K  0.0000  0.0000  0.0000
Cu  0.5000  0.5000  0.0000
Mo  0.0000  0.5000  0.5000
Mo  0.5000  0.0000  0.5000

Results
total magnetic moment	0.000	μB/f.u.
DFT total energy	-5.95	eV per atom
DOS at the Fermi energy	3.3	states/eV/f.u.
ΔE to the lowest computed polymorph	0.374	eV per atom
energy of formation	1.30	eV per atom


# 8
A plane-wave DFT calculation with GGA-PBEsol was carried out for an optimized crystal structure of BaSrCa2Fe.

Lattice parameters (Å, degrees): 6.1369 6.1369 5.0532 90.00 90.00 90.00
Atoms (fractional coordinates):
Ba  0.0000  0.0000  0.0000
Sr  0.5000  0.5000  0.5000
Ca  0.0000  0.5000  0.0000
Ca  0.5000  0.0000  0.0000
Fe  0.0000  0.0000  0.5000

Results
total magnetic moment	2.653	μB/f.u.
DFT total energy	-2.49	eV per atom
DOS at the Fermi energy	6.8	states/eV/f.u.
energy of formation	0.96	eV per atom


# 9
A plane-wave DFT calculation with GGA-PBEsol was carried out for an optimized crystal structure of KZrTa2.

Lattice parameters (Å, degrees): 6.3494 6.3494 6.3494 153.86 128.46 58.69
Atoms (fractional coordinates):
K  0.0000  0.0000  0.0000
Zr  0.5000  0.5000  0.0000
Ta  0.2754  0.7754  0.5000
Ta  0.7246  0.2246  0.5000

Results
total magnetic moment	0.000	μB/f.u.
DFT total energy	-7.69	eV per atom
DOS at the Fermi energy	4.3	states/eV/f.u.
ΔE to the lowest computed polymorph	0.312	eV per atom
energy of formation	1.14	eV per atom


# 10
A plane-wave DFT calculation with GGA-PBEsol was carried out for an optimized crystal structure of Cs2NaPbF6.

Lattice parameters (Å, degrees): 6.4229 6.4229 6.4229 60.00 60.00 60.00
Atoms (fractional coordinates):
Cs  0.2500  0.2500  0.2500
Cs  0.7500  0.7500  0.7500
Na  0.0000  0.0000  0.0000
Pb  0.5000  0.5000  0.5000
F  0.2531  0.2531  0.7469
F  0.2531  0.7469  0.2531
F  0.2531  0.7469  0.7469
F  0.7469  0.2531  0.2531
F  0.7469  0.2531  0.7469
F  0.7469  0.7469  0.2531

Results
energy relative to the elements, uncorrected	-244	kJ/mol of atoms
total magnetic moment	0.591	μB/f.u.
DFT total energy	-4.41	eV per atom
DOS at the Fermi energy	3.9	states/eV/f.u.


# 11
A plane-wave DFT calculation with GGA-PBEsol was carried out for an optimized crystal structure of Ga3WC.

Lattice parameters (Å, degrees): 4.8666 4.8666 4.8666 90.00 90.00 90.00
Atoms (fractional coordinates):
Ga  0.0000  0.0000  0.5000
Ga  0.0000  0.5000  0.0000
Ga  0.5000  0.0000  0.0000
W  0.0000  0.0000  0.0000
C  0.5000  0.5000  0.5000

Results
total magnetic moment	0.972	μB/f.u.
DFT total energy	-4.69	eV per atom
DOS at the Fermi energy	5.1	states/eV/f.u.
ΔE to the lowest computed polymorph	0.819	eV per atom
energy of formation	2.01	eV per atom


# 12
A plane-wave DFT calculation with GGA-PBEsol was carried out for an optimized crystal structure of Sr2CrMoOs.

Lattice parameters (Å, degrees): 5.7223 5.7223 4.5547 90.00 90.00 90.00
Atoms (fractional coordinates):
Sr  0.0000  0.5000  0.0000
Sr  0.5000  0.0000  0.0000
Cr  0.0000  0.0000  0.5000
Mo  0.5000  0.5000  0.0000
Os  0.5000  0.5000  0.5000

Results
total magnetic moment	5.027	μB/f.u.
DFT total energy	-6.03	eV per atom
DOS at the Fermi energy	6.2	states/eV/f.u.
energy of formation	1.55	eV per atom


Please write out number 5 again, unchanged.
A plane-wave DFT calculation with GGA-PBEsol was carried out for an optimized crystal structure of Tl2NiBr.

Lattice parameters (Å, degrees): 5.1582 5.1582 5.1582 60.00 60.00 60.00
Atoms (fractional coordinates):
Tl  0.2500  0.2500  0.2500
Tl  0.7500  0.7500  0.7500
Ni  0.0000  0.0000  0.0000
Br  0.5000  0.5000  0.5000

Results
energy relative to the elements, uncorrected	35	kJ/mol of atoms
total magnetic moment	0.590	μB/f.u.
DFT total energy	-2.96	eV per atom
DOS at the Fermi energy	7.4	states/eV/f.u.